Density functional theory data (PBE) for a relaxed KMn2Sb crystal.

POSCAR file:
```
KMn2Sb
1.0
-0.0292 3.7373 2.2414
-4.5929 -0.3680 0.5539
0.6643 -2.3586 3.9412
Mn Sb K
2 1 1
direct
0.0000 0.5000 0.5000
0.0000 0.0000 0.0000
0.5000 0.5000 0.0000
0.5000 0.0000 0.5000
```

Values from the calculation:
Its density of states at the Fermi level is 0.93 states/eV/atom. Its formation energy without anion corrections is 258 kJ/mol of formula units. The theoretical density comes out at 4.790 g/cm³. Its space group is P4/mmm (123).